Material: KTl2Au
Method: DFT, PBE
State: relaxed

## Properties
Its formation energy is -4.8 kJ per mole of atoms. The calculation puts the calculated density at 9.291 g cm⁻³. The space group is No. 119.

Lattice parameters (Å, degrees): 5.702 5.702 5.702 126.74 126.74 78.67
Fractional positions:
K 0.000 0.000 0.000
Tl 0.250 0.750 0.500
Tl 0.500 0.500 0.000
Au 0.750 0.250 0.500


Material: Na4B7C
Method: DFT, PBE
State: relaxed

## Properties
Its formation energy is 21.5 kJ per mole of atoms. The calculation puts the calculated density at 2.266 g cm⁻³. The space group is No. 59. The value obtained for the energy above the most stable polymorph in this dataset is 0.00 eV per formula unit.

Lattice parameters (Å, degrees): 2.743 8.763 10.954 90.00 90.00 90.00
Fractional positions:
Na 0.250 0.000 0.126
Na 0.250 0.001 0.625
Na 0.250 0.499 0.625
Na 0.250 0.500 0.126
Na 0.750 0.000 0.874
Na 0.750 0.500 0.874
Na 0.750 0.501 0.375
Na 0.750 0.999 0.375
B 0.250 0.250 0.437
B 0.250 0.250 0.800
B 0.250 0.250 0.957
B 0.250 0.750 0.304
B 0.250 0.750 0.460
B 0.250 0.750 0.780
B 0.250 0.750 0.939
B 0.750 0.250 0.061
B 0.750 0.250 0.220
B 0.750 0.250 0.540
B 0.750 0.250 0.696
B 0.750 0.750 0.043
B 0.750 0.750 0.200
B 0.750 0.750 0.563
C 0.250 0.250 0.295
C 0.750 0.750 0.705


Material: RbHoPb2Br8
Method: DFT, PBE
State: relaxed

## Properties
The formation energy from raw total energies comes out at -1352 meV/atom. The calculation puts the calculated density at 4.636 g cm⁻³. The space group is No. 2.

Lattice parameters (Å, degrees): 6.880 7.256 9.358 89.98 89.94 88.91
Fractional positions:
Rb 0.000 0.000 0.000
Ho 0.000 0.000 0.500
Pb 0.500 0.500 0.252
Pb 0.500 0.500 0.748
Br 0.238 0.317 0.500
Br 0.239 0.844 0.711
Br 0.240 0.845 0.289
Br 0.269 0.378 0.000
Br 0.731 0.622 0.000
Br 0.760 0.155 0.711
Br 0.761 0.156 0.289
Br 0.762 0.683 0.500


Material: Li4NbO4
Method: DFT, PBE
State: relaxed

## Properties
The formation energy from raw total energies comes out at -2108 meV/atom. The calculation puts the calculated density at 3.075 g cm⁻³. The space group is No. 87. The value obtained for the energy above the most stable polymorph in this dataset is 0.00 eV per formula unit.

Lattice parameters (Å, degrees): 5.739 5.739 5.739 94.75 94.75 146.57
Fractional positions:
Li 0.157 0.333 0.490
Li 0.333 0.843 0.176
Li 0.667 0.157 0.824
Li 0.843 0.667 0.510
Nb 0.000 0.000 0.000
O 0.079 0.759 0.839
O 0.241 0.079 0.320
O 0.759 0.921 0.680
O 0.921 0.241 0.161


Material: MgGePt2Au
Method: DFT, PBE
State: relaxed

## Properties
Its formation energy is 67.7 kJ per mole of atoms. The calculation puts the calculated density at 9.499 g cm⁻³. The space group is No. 123.

Lattice parameters (Å, degrees): 5.051 5.051 4.688 90.00 90.00 90.00
Fractional positions:
Mg 0.000 0.000 0.000
Ge 0.500 0.500 0.000
Pt 0.000 0.500 0.500
Pt 0.500 0.000 0.500
Au 0.000 0.000 0.500


Material: TaTi3W
Method: DFT, PBE
State: relaxed

## Properties
Its formation energy is 0.6 kJ per mole of atoms. The calculation puts the calculated density at 9.913 g cm⁻³. The space group is No. 12. The value obtained for the energy above the most stable polymorph in this dataset is 0.00 eV per formula unit.

Lattice parameters (Å, degrees): 5.373 5.373 7.994 105.01 105.01 50.37
Fractional positions:
Ta 0.046 0.046 0.343
Ta 0.954 0.954 0.657
Ti 0.157 0.157 0.044
Ti 0.265 0.265 0.737
Ti 0.357 0.357 0.427
Ti 0.643 0.643 0.573
Ti 0.735 0.735 0.263
Ti 0.843 0.843 0.956
W 0.451 0.451 0.140
W 0.549 0.549 0.860


Material: KGe6Pt12
Method: DFT, PBE
State: relaxed

## Properties
Its formation energy is -31.0 kJ per mole of atoms. The calculation puts the calculated density at 13.908 g cm⁻³. The space group is No. 166.

Lattice parameters (Å, degrees): 7.328 7.328 7.328 106.01 106.01 106.01
Fractional positions:
K 0.000 0.000 0.000
Ge 0.259 0.259 0.693
Ge 0.259 0.693 0.259
Ge 0.307 0.741 0.741
Ge 0.693 0.259 0.259
Ge 0.741 0.307 0.741
Ge 0.741 0.741 0.307
Pt 0.125 0.500 0.875
Pt 0.125 0.875 0.500
Pt 0.172 0.418 0.418
Pt 0.418 0.172 0.418
Pt 0.418 0.418 0.172
Pt 0.500 0.125 0.875
Pt 0.500 0.875 0.125
Pt 0.582 0.582 0.828
Pt 0.582 0.828 0.582
Pt 0.828 0.582 0.582
Pt 0.875 0.125 0.500
Pt 0.875 0.500 0.125


Material: SbPd2Pt
Method: DFT, PBE
State: relaxed

## Properties
The formation energy from raw total energies comes out at -156 meV/atom. The calculation puts the calculated density at 12.358 g cm⁻³. The space group is No. 44.

Lattice parameters (Å, degrees): 5.435 5.435 5.435 148.01 67.73 122.06
Fractional positions:
Sb 0.000 0.000 0.000
Pd 0.018 0.740 0.278
Pd 0.462 0.740 0.722
Pt 0.505 0.505 0.000


Material: CrSbSe4
Method: DFT, PBE
State: relaxed

## Properties
The formation energy from raw total energies comes out at -330 meV/atom. The calculation puts the calculated density at 4.961 g cm⁻³. The space group is No. 12. The value obtained for the energy above the most stable polymorph in this dataset is 0.00 eV per formula unit.

Lattice parameters (Å, degrees): 7.081 7.081 6.524 97.53 97.53 30.38
Fractional positions:
Cr 0.000 0.000 0.000
Sb 0.500 0.500 0.500
Se 0.115 0.115 0.338
Se 0.393 0.393 0.121
Se 0.607 0.607 0.879
Se 0.885 0.885 0.662


Material: Ac2Al12ZnCo3
Method: DFT, PBE
State: relaxed

## Properties
Its formation energy is 4.4 kJ per mole of atoms. The calculation puts the calculated density at 4.105 g cm⁻³. The space group is No. 166.

Lattice parameters (Å, degrees): 8.057 8.057 8.057 65.31 65.31 65.31
Fractional positions:
Ac 0.102 0.102 0.102
Ac 0.898 0.898 0.898
Al 0.131 0.615 0.615
Al 0.223 0.223 0.566
Al 0.223 0.566 0.223
Al 0.385 0.385 0.869
Al 0.385 0.869 0.385
Al 0.434 0.777 0.777
Al 0.566 0.223 0.223
Al 0.615 0.131 0.615
Al 0.615 0.615 0.131
Al 0.777 0.434 0.777
Al 0.777 0.777 0.434
Al 0.869 0.385 0.385
Zn 0.500 0.500 0.500
Co 0.000 0.500 0.500
Co 0.500 0.000 0.500
Co 0.500 0.500 0.000


Material: NbReAs2Br
Method: DFT, PBE
State: relaxed

## Properties
The formation energy from raw total energies comes out at 1031 meV/atom. The calculation puts the calculated density at 7.025 g cm⁻³. The space group is No. 123. The value obtained for the energy above the most stable polymorph in this dataset is 0.00 eV per formula unit.

Lattice parameters (Å, degrees): 4.733 4.733 5.368 90.00 90.00 90.00
Fractional positions:
Nb 0.000 0.000 0.000
Re 0.500 0.500 0.500
As 0.000 0.500 0.500
As 0.500 0.000 0.500
Br 0.500 0.500 0.000


Material: Dy3Er7Sc2
Method: DFT, PBE
State: relaxed

## Properties
Its formation energy is 11.7 kJ per mole of atoms. The calculation puts the calculated density at 8.032 g cm⁻³. The space group is No. 65. The value obtained for the energy above the most stable polymorph in this dataset is 0.00 eV per formula unit.

Lattice parameters (Å, degrees): 18.656 18.656 3.512 90.00 90.00 162.80
Fractional positions:
Dy 0.000 0.000 0.000
Dy 0.184 0.816 0.000
Dy 0.816 0.184 0.000
Er 0.095 0.905 0.500
Er 0.270 0.730 0.500
Er 0.427 0.573 0.000
Er 0.500 0.500 0.500
Er 0.573 0.427 0.000
Er 0.730 0.270 0.500
Er 0.905 0.095 0.500
Sc 0.352 0.648 0.500
Sc 0.648 0.352 0.500


The evaluated final energy for the records listed, in turn: -2.33 -4.88 -3.55 -6.28 -3.61 -9.69 -5.65 -5.29 -4.94 -4.16 -5.67 -4.75 eV/atom.
The evaluated spin magnetization for the records listed, in turn: 0.000 0.000 0.000 0.000 0.000 0.000 0.000 0.000 2.647 0.000 3.452 0.000 μB per formula unit.